Record 1
Material: Ce4Ga2S5O4
Method: DFT, GGA-PBEsol
State: optimized geometry

Geometry as POSCAR:
```
Ce4Ga2S5O4
1.0
3.8373 0.0017 0.0002
-0.0244 7.7396 -0.0049
-1.9168 -1.9163 9.0441
S Ce Ga O
5 4 2 4
direct
0.5975 0.3061 0.2211 S
0.5973 0.8283 0.2214 S
0.3758 0.7175 0.7781 S
0.3768 0.1917 0.7801 S
0.9869 0.4835 0.9984 S
0.8099 0.4181 0.6451 Ce
0.8072 0.9211 0.6368 Ce
0.1658 0.5948 0.3579 Ce
0.1691 0.1055 0.3603 Ce
0.4918 0.6497 0.0002 Ga
0.8501 0.1580 0.0001 Ga
0.2418 0.3860 0.5055 O
0.2361 0.8808 0.4951 O
0.7379 0.6324 0.4994 O
0.7398 0.1344 0.5006 O
```

Calculated values
Formation energy from raw total energies, eV/atom: -2.27
Raw total energy, eV/f.u.: -110.01
Space group: P1, No. 1

---

Record 2
Material: Li4V3Ni3W2O16
Method: DFT, GGA-PBEsol
State: optimized geometry

Geometry as POSCAR:
```
Li4V3Ni3W2O16
1.0
-5.7312 -0.3146 -0.6785
-2.9705 -4.3627 2.3557
-1.1852 5.2008 8.0172
Li V Ni W O
4 3 3 2 16
direct
0.6600 0.6600 0.8992 Li
0.0030 0.0030 0.9874 Li
0.0013 0.0013 0.4898 Li
0.3322 0.3322 0.4057 Li
0.8283 0.3560 0.2187 V
0.3560 0.8283 0.2187 V
0.1773 0.1773 0.7270 V
0.8277 0.8277 0.2085 Ni
0.6567 0.1679 0.7122 Ni
0.1679 0.6567 0.7122 Ni
0.6685 0.6685 0.4963 W
0.3389 0.3389 0.9895 W
0.8334 0.3425 0.5903 O
0.5180 0.5180 0.3470 O
0.6585 0.6585 0.0999 O
0.0059 0.0059 0.2975 O
0.0082 0.0082 0.7965 O
0.3425 0.8334 0.5903 O
0.9600 0.5123 0.3465 O
0.5123 0.9600 0.3465 O
0.1745 0.1745 0.1001 O
0.8311 0.8311 0.5853 O
0.4721 0.0300 0.8543 O
0.0300 0.4721 0.8543 O
0.3182 0.3182 0.6071 O
0.6618 0.1799 0.0899 O
0.4756 0.4756 0.8473 O
0.1799 0.6618 0.0899 O
```

Calculated values
Formation energy from raw total energies, eV/atom: -1.89
Raw total energy, eV/f.u.: -219.72
Space group: Cm, No. 8

---

Record 3
Material: MgSbS2
Method: DFT, GGA-PBEsol
State: optimized geometry

Geometry as POSCAR:
```
MgSbS2
1.0
3.6806 0.0000 0.0000
1.8403 3.1875 0.0000
1.8403 1.0625 7.7009
Sb S Mg
1 2 1
direct
0.0000 0.0000 0.0000 Sb
0.8918 0.8918 0.3246 S
0.1082 0.1082 0.6754 S
0.5000 0.5000 0.5000 Mg
```

Calculated values
Formation energy from raw total energies, eV/atom: -0.54
Raw total energy, eV/f.u.: -17.21
Space group: R-3m, No. 166

---

Record 4
Material: TlMoW2
Method: DFT, GGA-PBEsol
State: optimized geometry

Geometry as POSCAR:
```
TlMoW2
1.0
3.9843 0.0000 0.0000
0.0000 3.9843 0.0000
-1.9921 -1.9921 4.2006
Mo Tl W
1 1 2
direct
0.5000 0.5000 0.0000 Mo
0.0000 0.0000 0.0000 Tl
0.7500 0.2500 0.5000 W
0.2500 0.7500 0.5000 W
```

Calculated values
Energy of formation from the pure elements, kJ per mole of atoms: 68.6
Raw total energy, eV/f.u.: -39.17
Space group: I4/mmm, No. 139

---

Record 5
Material: Sr2TcSb
Method: DFT, GGA-PBEsol
State: optimized geometry

Geometry as POSCAR:
```
Sr2TcSb
1.0
3.5067 0.0000 0.0000
0.0000 4.4724 0.0000
0.0000 0.0000 6.8122
Sb Sr Tc
1 2 1
direct
0.5000 0.5000 0.5000 Sb
0.0000 0.0000 0.7572 Sr
0.0000 0.0000 0.2428 Sr
0.5000 0.5000 0.0000 Tc
```

Calculated values
Formation energy from raw total energies, eV/atom: 0.31
Raw total energy, eV/f.u.: -18.28
Space group: Pmmm, No. 47

---

Record 6
Material: FeNiO3
Method: DFT, GGA-PBEsol
State: optimized geometry

Geometry as POSCAR:
```
FeNiO3
1.0
4.7773 0.0000 0.0000
2.3887 4.1373 0.0000
2.3887 1.3791 4.3816
Fe Ni O
2 2 6
direct
0.1533 0.1533 0.5401 Fe
0.8467 0.8467 0.4599 Fe
0.6474 0.6474 0.0577 Ni
0.3526 0.3526 0.9423 Ni
0.4420 0.7639 0.7402 O
0.2361 0.9461 0.2598 O
0.9461 0.5580 0.2598 O
0.0539 0.4420 0.7402 O
0.7639 0.0539 0.7402 O
0.5580 0.2361 0.2598 O
```

Calculated values
Formation energy from raw total energies, eV/atom: -1.09
Raw total energy, eV/f.u.: -36.29
Space group: R-3, No. 148

---

no.,magnetic moment (μB/f.u.)
1,2.14
2,8.70
3,0.00
4,0.00
5,1.88
6,0.01